DFT (PBE-GGA) results for a relaxed HoMgCu2 crystal.

POSCAR file:
```
HoMgCu2
1.0
3.323 0.000 0.000
0.000 3.323 0.000
0.000 0.000 6.625
Ho Mg Cu
1 1 2
direct
0.000 0.000 0.000
0.000 0.000 0.500
0.500 0.500 0.271
0.500 0.500 0.729
```

The calculated formation energy is -156 meV per atom. As for the mass density: 7.18 g cm⁻³. The calculation puts the total DFT energy (no corrections) at -14.99 eV/cell. As for the space-group type: No. 123. For the density of states at the Fermi level, the calculation gives 1.59 states/eV/cell. The total moment comes out at 0.00 μB per formula unit.